! Sr2InI GGA-PBE relaxed; values from VASP
&SYSTEM
  ibrav = 0, nat = 4, ntyp = 3
/
ATOMIC_SPECIES
Sr 87.62 Sr.upf
In 114.82 In.upf
I 126.90 I.upf
ATOMIC_POSITIONS crystal
Sr 0.250 0.250 0.250
Sr 0.750 0.750 0.750
In 0.000 0.000 0.000
I 0.500 0.500 0.500
CELL_PARAMETERS angstrom
0.000 4.208 4.208
4.208 0.000 4.208
4.208 4.208 0.000
! Uncorrected formation energy: -0.5665 eV/atom
! Energy above the lowest structure with this stoichiometry: 233 meV per atom

---

! Sr2In3I7 GGA-PBE relaxed; values from VASP
&SYSTEM
  ibrav = 0, nat = 24, ntyp = 3
/
ATOMIC_SPECIES
Sr 87.62 Sr.upf
In 114.82 In.upf
I 126.90 I.upf
ATOMIC_POSITIONS crystal
Sr 0.144 0.647 0.500
Sr 0.353 0.856 0.500
Sr 0.647 0.144 0.000
Sr 0.856 0.353 0.000
In 0.059 0.562 0.895
In 0.227 0.773 0.096
In 0.438 0.941 0.895
In 0.562 0.059 0.395
In 0.773 0.227 0.596
In 0.941 0.438 0.395
I 0.002 0.848 0.815
I 0.099 0.318 0.044
I 0.152 0.998 0.815
I 0.293 0.451 0.185
I 0.318 0.099 0.544
I 0.396 0.604 0.450
I 0.451 0.293 0.685
I 0.549 0.707 0.185
I 0.604 0.396 0.950
I 0.682 0.901 0.044
I 0.707 0.549 0.685
I 0.848 0.002 0.315
I 0.901 0.682 0.544
I 0.998 0.152 0.315
CELL_PARAMETERS angstrom
14.575 -4.155 0.000
14.575 4.155 0.000
0.000 0.000 9.168
! Uncorrected formation energy: -1.0611 eV/atom

---

! Sr2InI GGA-PBE relaxed; values from VASP
&SYSTEM
  ibrav = 0, nat = 4, ntyp = 3
/
ATOMIC_SPECIES
Sr 87.62 Sr.upf
In 114.82 In.upf
I 126.90 I.upf
ATOMIC_POSITIONS crystal
Sr 0.000 0.000 0.227
Sr 0.000 0.000 0.773
In 0.500 0.500 0.000
I 0.500 0.500 0.500
CELL_PARAMETERS angstrom
4.008 0.000 0.000
0.000 4.008 0.000
0.000 0.000 9.126
! Uncorrected formation energy: -0.7867 eV/atom
! Energy above the lowest structure with this stoichiometry: 13 meV per atom

---

! SrInI2 GGA-PBE relaxed; values from VASP
&SYSTEM
  ibrav = 0, nat = 4, ntyp = 3
/
ATOMIC_SPECIES
Sr 87.62 Sr.upf
In 114.82 In.upf
I 126.90 I.upf
ATOMIC_POSITIONS crystal
Sr 0.000 0.000 0.000
In 0.500 0.500 0.500
I 0.101 0.101 0.101
I 0.899 0.899 0.899
CELL_PARAMETERS angstrom
2.421 1.398 10.469
-2.421 1.398 10.469
0.000 -2.795 10.469
! Uncorrected formation energy: -0.6522 eV/atom
! Energy above the lowest structure with this stoichiometry: 180 meV per atom

---

Q: What is the formula in the first record?
A: Sr2InI